#i
Below is Tl2GeF after structural relaxation, with properties calculated at the PBE level.

Results
- Symmetry: I-42d

a = 5.718 Å, b = 5.718 Å, c = 14.266 Å
α = 90.00°, β = 90.00°, γ = 90.00°
Fractional coordinates of all 16 atoms:
Tl 0.213 0.250 0.125
Tl 0.250 0.713 0.375
Tl 0.250 0.787 0.875
Tl 0.287 0.250 0.625
Tl 0.713 0.750 0.625
Tl 0.750 0.213 0.875
Tl 0.750 0.287 0.375
Tl 0.787 0.750 0.125
Ge 0.000 0.000 0.500
Ge 0.000 0.500 0.750
Ge 0.500 0.000 0.250
Ge 0.500 0.500 0.000
F 0.000 0.000 0.000
F 0.000 0.500 0.250
F 0.500 0.000 0.750
F 0.500 0.500 0.500


#ii
Below is Tl2GeF after structural relaxation, with properties calculated at the PBE level.

Results
- Symmetry: Fm-3m

a = 7.040 Å, b = 7.040 Å, c = 7.040 Å
α = 90.00°, β = 90.00°, γ = 90.00°
Fractional coordinates of all 16 atoms:
Tl 0.250 0.250 0.250
Tl 0.250 0.250 0.750
Tl 0.250 0.750 0.250
Tl 0.250 0.750 0.750
Tl 0.750 0.250 0.250
Tl 0.750 0.250 0.750
Tl 0.750 0.750 0.250
Tl 0.750 0.750 0.750
Ge 0.000 0.000 0.000
Ge 0.000 0.500 0.500
Ge 0.500 0.000 0.500
Ge 0.500 0.500 0.000
F 0.000 0.000 0.500
F 0.000 0.500 0.000
F 0.500 0.000 0.000
F 0.500 0.500 0.500


Pick #ii: it beats the second-best structure by 0.043 eV/atom.